{
  "formula": "Er2PaSe3",
  "functional": "PBE",
  "state": "optimized geometry",
  "e_form_raw_ev_per_atom": -1.513,
  "rho_g_cm3": 9.46,
  "m_tot_mub_per_fu": 0.39,
  "cell": [[3.926, 0.000, 0.000], [-1.963, 3.400, 0.000], [0.000, 0.000, 21.104]],
  "species": ["Er", "Se", "Pa", "Se", "Se", "Er", "Pa", "Se", "Er", "Er", "Se", "Se"],
  "frac_coords": [[0.333, 0.667, 0.585], [0.000, 0.000, 0.500], [0.000, 0.000, 0.750], [0.333, 0.667, 0.338], [0.667, 0.333, 0.838], [0.667, 0.333, 0.415], [0.000, 0.000, 0.250], [0.000, 0.000, 0.000], [0.667, 0.333, 0.085], [0.333, 0.667, 0.915], [0.333, 0.667, 0.162], [0.667, 0.333, 0.662]]
}

---

{
  "formula": "ErPaSe2",
  "functional": "PBE",
  "state": "optimized geometry",
  "e_form_raw_ev_per_atom": -1.200,
  "rho_g_cm3": 10.56,
  "polymorph_energy_mev_per_atom": 250,
  "m_tot_mub_per_fu": 1.03,
  "cell": [[-3.074, 1.638, -0.662], [-1.573, -1.100, 4.582], [1.911, 4.266, 1.681]],
  "species": ["Se", "Er", "Se", "Pa"],
  "frac_coords": [[0.000, 0.500, 0.000], [0.500, 0.000, 0.000], [0.000, 0.000, 0.500], [0.500, 0.500, 0.500]]
}